A PBEsol-optimized structure of Ba2CuRu. Source: Alexandria via LeMat-Bulk, functional SCAN.

a = 5.389 Å, b = 5.389 Å, c = 3.588 Å
α = 90.00°, β = 90.00°, γ = 90.00°
Space group P4/mmm (No. 123)
Unique sites:
1 Ba 0.000 0.500 0.000 (multiplicity 2)
2 Cu 0.000 0.000 0.500 (multiplicity 1)
3 Ru 0.500 0.500 0.500 (multiplicity 1)

## Properties
The energy of formation from the pure elements is 56 kJ per mole of atoms. The value obtained for the calculated total energy is -31.70 eV/atom.

A PBEsol-optimized structure of BaCuRu3. Source: Alexandria via LeMat-Bulk, functional SCAN.

a = 4.877 Å, b = 4.877 Å, c = 4.877 Å
α = 90.00°, β = 90.00°, γ = 90.00°
Space group Pm-3m (No. 221)
Unique sites:
1 Ba 0.000 0.000 0.000 (multiplicity 1)
2 Cu 0.500 0.500 0.500 (multiplicity 1)
3 Ru 0.000 0.000 0.500 (multiplicity 3)

## Properties
The energy of formation from the pure elements is 288 kJ per mole of atoms. The value obtained for the calculated total energy is -28.86 eV/atom.

A PBEsol-optimized structure of BaCu2S2. Source: Alexandria via LeMat-Bulk, functional SCAN.

a = 9.102 Å, b = 3.979 Å, c = 10.235 Å
α = 90.00°, β = 90.00°, γ = 90.00°
Space group Pnma (No. 62)
Unique sites:
1 Ba 0.242 0.250 0.175 (multiplicity 4)
2 Cu 0.054 0.250 0.885 (multiplicity 4)
3 Cu 0.083 0.250 0.455 (multiplicity 4)
4 S 0.022 0.750 0.334 (multiplicity 4)
5 S 0.155 0.750 0.958 (multiplicity 4)

## Properties
The value obtained for the calculated total energy is -18.91 eV/atom. The uncorrected formation energy is -1067 meV per atom.

A PBEsol-optimized structure of BaCu2S2. Source: Alexandria via LeMat-Bulk, functional SCAN.

a = 3.850 Å, b = 3.850 Å, c = 12.413 Å
α = 90.00°, β = 90.00°, γ = 90.00°
Space group I4/mmm (No. 139)
Unique sites:
1 Ba 0.000 0.000 0.000 (multiplicity 2)
2 Cu 0.000 0.500 0.250 (multiplicity 4)
3 S 0.000 0.000 0.360 (multiplicity 4)

## Properties
The value obtained for the calculated total energy is -18.90 eV/atom. The uncorrected formation energy is -1063 meV per atom.

A PBEsol-optimized structure of BaCu2SnS4. Source: Alexandria via LeMat-Bulk, functional SCAN.

a = 6.3283 Å, b = 6.3283 Å, c = 15.5632 Å
α = 90.00°, β = 90.00°, γ = 120.00°
Space group P3_121 (No. 152)
Unique sites:
1 Ba 0.0000 0.5715 0.1667 (multiplicity 3)
2 Cu 0.0621 0.6272 0.4120 (multiplicity 6)
3 Sn 0.0000 0.7028 0.6667 (multiplicity 3)
4 S 0.0609 0.4964 0.7877 (multiplicity 6)
5 S 0.1154 0.3493 0.3311 (multiplicity 6)

## Properties
The value obtained for the calculated total energy is -18.96 eV/atom. The uncorrected formation energy is -915 meV per atom.

A PBEsol-optimized structure of Ba2CuSb. Source: Alexandria via LeMat-Bulk, functional SCAN.

a = 4.628 Å, b = 4.778 Å, c = 12.414 Å
α = 90.00°, β = 90.00°, γ = 90.00°
Space group Amm2 (No. 38)
Unique sites:
1 Ba 0.000 0.000 0.000 (multiplicity 2)
2 Ba 0.500 0.000 0.280 (multiplicity 2)
3 Cu 0.500 0.000 0.583 (multiplicity 2)
4 Sb 0.000 0.000 0.705 (multiplicity 2)

## Properties
The value obtained for the calculated total energy is -33.48 eV/atom. The uncorrected formation energy is -591 meV per atom.

A PBEsol-optimized structure of BaCuSb3. Source: Alexandria via LeMat-Bulk, functional SCAN.

a = 6.063 Å, b = 6.063 Å, c = 6.063 Å
α = 90.00°, β = 90.00°, γ = 90.00°
Space group Pm-3m (No. 221)
Unique sites:
1 Ba 0.000 0.000 0.000 (multiplicity 1)
2 Cu 0.500 0.500 0.500 (multiplicity 1)
3 Sb 0.000 0.000 0.500 (multiplicity 3)

## Properties
The value obtained for the calculated total energy is -31.78 eV/atom. The uncorrected formation energy is 1526 meV per atom.

A PBEsol-optimized structure of BaCu2Sb. Source: Alexandria via LeMat-Bulk, functional SCAN.

a = 4.637 Å, b = 4.400 Å, c = 5.046 Å
α = 90.00°, β = 104.93°, γ = 90.00°
Space group Pm (No. 6)
Unique sites:
1 Ba 0.000 0.000 0.000 (multiplicity 1)
2 Cu 0.553 0.000 0.463 (multiplicity 1)
3 Cu 0.767 0.500 0.410 (multiplicity 1)
4 Sb 0.324 0.500 0.608 (multiplicity 1)

## Properties
The value obtained for the calculated total energy is -27.09 eV/atom. The uncorrected formation energy is -290 meV per atom.

A PBEsol-optimized structure of BaCu3Sb. Source: Alexandria via LeMat-Bulk, functional SCAN.

a = 5.143 Å, b = 5.143 Å, c = 5.143 Å
α = 90.00°, β = 90.00°, γ = 90.00°
Space group Pm-3m (No. 221)
Unique sites:
1 Ba 0.000 0.000 0.000 (multiplicity 1)
2 Cu 0.000 0.000 0.500 (multiplicity 3)
3 Sb 0.500 0.500 0.500 (multiplicity 1)

## Properties
The value obtained for the calculated total energy is -22.94 eV/atom. The uncorrected formation energy is 1541 meV per atom.

A PBEsol-optimized structure of BaCuSb. Source: Alexandria via LeMat-Bulk, functional SCAN.

a = 3.697 Å, b = 3.697 Å, c = 11.745 Å
α = 90.00°, β = 90.00°, γ = 90.00°
Space group I4mm (No. 107)
Unique sites:
1 Ba 0.000 0.000 0.000 (multiplicity 2)
2 Cu 0.000 0.000 0.289 (multiplicity 2)
3 Sb 0.000 0.000 0.716 (multiplicity 2)

## Properties
The value obtained for the calculated total energy is -30.86 eV/atom. The uncorrected formation energy is -186 meV per atom.

A PBEsol-optimized structure of Ba2ScCu. Source: Alexandria via LeMat-Bulk, functional SCAN.

a = 3.619 Å, b = 3.619 Å, c = 9.795 Å
α = 90.00°, β = 90.00°, γ = 90.00°
Space group P4mm (No. 99)
Unique sites:
1 Ba 0.000 0.000 0.000 (multiplicity 1)
2 Ba 0.500 0.500 0.373 (multiplicity 1)
3 Sc 0.500 0.500 0.706 (multiplicity 1)
4 Cu 0.000 0.000 0.601 (multiplicity 1)

## Properties
The energy of formation from the pure elements is 11 kJ per mole of atoms. The value obtained for the calculated total energy is -27.02 eV/atom.

A PBEsol-optimized structure of BaScCu3. Source: Alexandria via LeMat-Bulk, functional SCAN.

a = 5.144 Å, b = 5.144 Å, c = 5.144 Å
α = 90.00°, β = 90.00°, γ = 90.00°
Space group Pm-3m (No. 221)
Unique sites:
1 Ba 0.000 0.000 0.000 (multiplicity 1)
2 Sc 0.500 0.500 0.500 (multiplicity 1)
3 Cu 0.000 0.000 0.500 (multiplicity 3)

## Properties
The energy of formation from the pure elements is 136 kJ per mole of atoms. The value obtained for the calculated total energy is -18.47 eV/atom.

A PBEsol-optimized structure of BaYScCu2. Source: Alexandria via LeMat-Bulk, functional SCAN.

a = 5.066 Å, b = 5.066 Å, c = 5.209 Å
α = 90.00°, β = 90.00°, γ = 90.00°
Space group P4/mmm (No. 123)
Unique sites:
1 Ba 0.000 0.000 0.000 (multiplicity 1)
2 Y 0.500 0.500 0.000 (multiplicity 1)
3 Sc 0.500 0.500 0.500 (multiplicity 1)
4 Cu 0.000 0.500 0.500 (multiplicity 2)

## Properties
The energy of formation from the pure elements is 57 kJ per mole of atoms. The value obtained for the calculated total energy is -21.81 eV/atom.

A PBEsol-optimized structure of Ba2CuSe. Source: Alexandria via LeMat-Bulk, functional SCAN.

a = 4.651 Å, b = 4.651 Å, c = 6.490 Å
α = 90.00°, β = 90.00°, γ = 90.00°
Space group P4/mmm (No. 123)
Unique sites:
1 Ba 0.000 0.000 0.000 (multiplicity 1)
2 Ba 0.500 0.500 0.500 (multiplicity 1)
3 Cu 0.000 0.000 0.500 (multiplicity 1)
4 Se 0.500 0.500 0.000 (multiplicity 1)

## Properties
The value obtained for the calculated total energy is -29.58 eV/atom. The uncorrected formation energy is -982 meV per atom.

A PBEsol-optimized structure of BaCuSe2. Source: Alexandria via LeMat-Bulk, functional SCAN.

a = 6.811 Å, b = 5.999 Å, c = 5.780 Å
α = 90.00°, β = 117.90°, γ = 90.00°
Space group C2/m (No. 12)
Unique sites:
1 Ba 0.000 0.000 0.000 (multiplicity 2)
2 Cu 0.000 0.500 0.500 (multiplicity 2)
3 Se 0.191 0.500 0.274 (multiplicity 4)

## Properties
The value obtained for the calculated total energy is -24.71 eV/atom. The uncorrected formation energy is -980 meV per atom.

A PBEsol-optimized structure of BaCuSe2. Source: Alexandria via LeMat-Bulk, functional SCAN.

a = 4.916 Å, b = 4.916 Å, c = 3.978 Å
α = 90.00°, β = 90.00°, γ = 90.00°
Space group P4/mmm (No. 123)
Unique sites:
1 Ba 0.000 0.000 0.000 (multiplicity 1)
2 Cu 0.500 0.500 0.000 (multiplicity 1)
3 Se 0.000 0.500 0.500 (multiplicity 2)

## Properties
The value obtained for the calculated total energy is -24.28 eV/atom. The uncorrected formation energy is -549 meV per atom.

A PBEsol-optimized structure of BaCuSe2. Source: Alexandria via LeMat-Bulk, functional SCAN.

a = 4.467 Å, b = 4.889 Å, c = 4.890 Å
α = 90.00°, β = 90.00°, γ = 90.00°
Space group Pmm2 (No. 25)
Unique sites:
1 Ba 0.000 0.000 0.000 (multiplicity 1)
2 Cu 0.500 0.500 0.506 (multiplicity 1)
3 Se 0.500 0.000 0.499 (multiplicity 1)
4 Se 0.500 0.500 0.005 (multiplicity 1)

## Properties
The value obtained for the calculated total energy is -24.85 eV/atom. The uncorrected formation energy is -1120 meV per atom.

A PBEsol-optimized structure of BaCu2Se. Source: Alexandria via LeMat-Bulk, functional SCAN.

a = 4.352 Å, b = 4.352 Å, c = 4.785 Å
α = 90.00°, β = 90.00°, γ = 90.00°
Space group P4/mmm (No. 123)
Unique sites:
1 Ba 0.000 0.000 0.000 (multiplicity 1)
2 Cu 0.000 0.500 0.500 (multiplicity 2)
3 Se 0.500 0.500 0.000 (multiplicity 1)

## Properties
The value obtained for the calculated total energy is -22.48 eV/atom. The uncorrected formation energy is 26 meV per atom.

A PBEsol-optimized structure of BaCuSe2. Source: Alexandria via LeMat-Bulk, functional SCAN.

a = 3.561 Å, b = 3.561 Å, c = 7.237 Å
α = 90.00°, β = 90.00°, γ = 90.00°
Space group P4/mmm (No. 123)
Unique sites:
1 Ba 0.000 0.000 0.000 (multiplicity 1)
2 Cu 0.000 0.000 0.500 (multiplicity 1)
3 Se 0.500 0.500 0.294 (multiplicity 2)

## Properties
The value obtained for the calculated total energy is -24.21 eV/atom. The uncorrected formation energy is -487 meV per atom.

A PBEsol-optimized structure of BaCu2Se. Source: Alexandria via LeMat-Bulk, functional SCAN.

a = 10.637 Å, b = 4.594 Å, c = 4.424 Å
α = 90.00°, β = 94.51°, γ = 90.00°
Space group C2/m (No. 12)
Unique sites:
1 Ba 0.000 0.000 0.000 (multiplicity 2)
2 Cu 0.218 0.500 0.501 (multiplicity 4)
3 Se 0.000 0.500 0.500 (multiplicity 2)

## Properties
The value obtained for the calculated total energy is -22.90 eV/atom. The uncorrected formation energy is -389 meV per atom.